1.
This record from the Alexandria database describes Tb6Pr2Dy3In after structural relaxation. The functional is PBE-GGA.

Lattice parameters (Å, degrees): 6.1276 6.1276 11.7809 94.99 94.99 120.03
With the nearest neighbours (Å) after each atom.
Positions (direct):
Tb: 0.9166 0.5900 0.7493  6 Tb 3.47-3.57, 3 Dy 3.53-3.56, 1 In 3.53, 2 Pr 3.57
Tb: 0.7570 0.7570 0.2515  6 Tb 3.47-3.57, 3 Dy 3.52-3.56, 1 In 3.54, 2 Pr 3.57
Tb: 0.0834 0.4100 0.2507  6 Tb 3.47-3.57, 3 Dy 3.53-3.56, 1 In 3.53, 2 Pr 3.57
Tb: 0.5900 0.9166 0.7493  6 Tb 3.47-3.57, 3 Dy 3.53-3.56, 1 In 3.53, 2 Pr 3.57
Tb: 0.2430 0.2430 0.7485  6 Tb 3.47-3.57, 3 Dy 3.52-3.56, 1 In 3.54, 2 Pr 3.57
Tb: 0.4100 0.0834 0.2507  6 Tb 3.47-3.57, 3 Dy 3.53-3.56, 1 In 3.53, 2 Pr 3.57
Pr: 0.3336 0.6664 0.0000  3 Pr 3.53-3.54, 3 In 3.54, 6 Tb 3.57
Pr: 0.6664 0.3336 0.0000  3 Pr 3.53-3.54, 3 In 3.54, 6 Tb 3.57
Dy: 0.1669 0.8331 0.5000  6 Tb 3.52-3.56, 6 Dy 3.53-3.54
Dy: 0.8331 0.1669 0.5000  6 Tb 3.52-3.56, 6 Dy 3.53-3.54
Dy: 0.5000 0.5000 0.5000  6 Tb 3.53-3.56, 6 Dy 3.54
In: 0.0000 0.0000 0.0000  6 Tb 3.53-3.54, 6 Pr 3.54

Values from the calculation:
The total magnetic moment is 0.0 μB/cell. The calculation puts the density of states at the Fermi level at 1.277 states/eV per atom. The uncorrected energy comes out at -54.6 eV/cell. The calculation puts the calculated density at 8.09 g/cm3. The symmetry is C2/m (12). The energy relative to the elements comes out at -57 meV per atom.

=====

2.
This record from the Alexandria database describes NaIrN2O after structural relaxation. The functional is PBE-GGA.

Lattice parameters (Å, degrees): 3.9231 3.9231 3.8646 90.00 90.00 90.00
With the nearest neighbours (Å) after each atom.
Positions (direct):
Na: 0.0000 0.0000 0.0000  2 O 1.93, 4 N 1.96
Ir: 0.5000 0.5000 0.5000  8 N 2.75, 4 O 2.77
O: 0.0000 0.0000 0.5000  2 Na 1.93
N: 0.0000 0.5000 0.0000  2 Na 1.96
N: 0.5000 0.0000 0.0000  2 Na 1.96

Values from the calculation:
The total magnetic moment is 0.0 μB/cell. The calculation puts the density of states at the Fermi level at 1.541 states/eV per atom. The uncorrected energy comes out at -18.2 eV/cell. Its formation energy from raw total energies is 2.709 eV/atom. The calculation puts the calculated density at 7.24 g/cm3. The symmetry is P4/mmm (123).